Crystalline NpCoGe2Ru at its relaxed geometry. Source: the Alexandria database, functional PBE.

Values from the calculation:
Density (Mg/m³): 10.6
Raw total energy (eV/atom): -7.99
ΔH_f (0 K) (eV per atom): -0.283
Total magnetic moment (μB/atom): 0.785

Unit cell a=4.070 b=4.070 c=5.878 alpha=110.26 beta=110.26 gamma=90.00
Last column: magnetic moment on the atom in μB.
Sites, in units of the cell vectors:
Co: 0.750 0.250 0.500  -0.06
Np: 0.000 0.000 0.000  3.78
Ge: 0.374 0.374 0.749  -0.01
Ge: 0.626 0.626 0.251  -0.01
Ru: 0.250 0.750 0.500  -0.10

***

Crystalline NpCo2Ge4Ru at its relaxed geometry. Source: the Alexandria database, functional PBE.

Values from the calculation:
Density (Mg/m³): 9.9
Raw total energy (eV/atom): -7.03
ΔH_f (0 K) (eV per atom): -0.169
Total magnetic moment (μB/atom): 0.463

Unit cell a=4.042 b=4.042 c=9.150 alpha=77.24 beta=77.24 gamma=60.00
Last column: magnetic moment on the atom in μB.
Sites, in units of the cell vectors:
Ge: 0.601 0.601 0.196  -0.01
Ge: 0.873 0.873 0.380  0.00
Ge: 0.127 0.127 0.620  0.00
Ge: 0.399 0.399 0.804  -0.01
Np: 0.000 0.000 0.000  3.71
Co: 0.231 0.231 0.306  -0.11
Co: 0.769 0.769 0.694  -0.11
Ru: 0.500 0.500 0.500  -0.02

***

Crystalline Np2Co3Ge4Ru at its relaxed geometry. Source: the Alexandria database, functional PBE.

Values from the calculation:
Density (Mg/m³): 10.7
Raw total energy (eV/atom): -7.79
ΔH_f (0 K) (eV per atom): -0.292
Total magnetic moment (μB/atom): 0.653

Unit cell a=4.096 b=4.096 c=9.674 alpha=90.00 beta=90.00 gamma=90.00
Last column: magnetic moment on the atom in μB.
Sites, in units of the cell vectors:
Np: 0.500 0.000 0.246  3.56
Np: 0.000 0.500 0.754  3.56
Co: 0.500 0.000 0.875  -0.28
Co: 0.000 0.000 0.500  -0.28
Co: 0.000 0.500 0.125  -0.28
Ge: 0.500 0.000 0.636  -0.01
Ge: 0.500 0.500 0.000  -0.01
Ge: 0.000 0.500 0.364  -0.01
Ge: 0.000 0.000 0.000  -0.01
Ru: 0.500 0.500 0.500  -0.14